Fe2Mo2O7 after structural relaxation, computed with PBE with a Hubbard U.

```
data_Fe2Mo2O7
_chemical_formula_sum 'Fe4 Mo4 O14'
_cell_length_a 6.497
_cell_length_b 9.250
_cell_length_c 5.296
_cell_angle_alpha 90.00
_cell_angle_beta 99.28
_cell_angle_gamma 90.00
_symmetry_space_group_name_H-M 'C 1 2/m 1'
_symmetry_Int_Tables_number 12
loop_
_symmetry_equiv_pos_as_xyz
'x,y,z'
'-x,-y,-z'
'-x,y,-z'
'x,-y,z'
'x+1/2,y+1/2,z'
'-x+1/2,-y+1/2,-z'
'-x+1/2,y+1/2,-z'
'x+1/2,-y+1/2,z'
loop_
_atom_site_label
_atom_site_fract_x
_atom_site_fract_y
_atom_site_fract_z
Fe1 0.000 0.190 0.000
Mo1 0.241 0.000 0.615
O1 0.000 0.500 0.500
O2 0.070 0.000 0.277
O3 0.231 0.331 0.192
```

Properties
As for the energy relative to the lowest polymorph listed for this composition: 0.00 eV per formula unit. The density of states at the Fermi level is 0.0 states/eV/f.u.